Entry from the Alexandria database: a geometry-optimized SiSe3 structure (GGA-PBE).

```
SiSe3
1.0
-2.283 3.452 3.529
2.283 -3.452 3.529
2.283 3.452 -3.529
Si Se
1 3
Direct
0.000 0.000 0.000
0.001 0.761 0.241
0.493 0.993 0.500
0.520 0.761 0.759
```

SG: Imm2, No. 44
Magnetization in μB/f.u.: 0.0
Uncorrected formation energy in eV/f.u.: 0.7


Entry from the Alexandria database: a geometry-optimized SiSe4 structure (GGA-PBE).

```
SiSe4
1.0
-3.065 3.065 3.065
3.065 -3.065 3.065
3.065 3.065 -3.065
Si Se
1 4
Direct
0.000 0.000 0.000
0.000 0.000 0.500
0.000 0.500 0.000
0.500 0.000 0.000
0.500 0.500 0.500
```

SG: Im-3m, No. 229
Magnetization in μB/f.u.: 0.0
Energy above the most stable polymorph in this dataset in meV/atom: 469
Uncorrected formation energy in eV/f.u.: 2.1


Entry from the Alexandria database: a geometry-optimized SiSe2 structure (GGA-PBE).

```
SiSe2
1.0
3.597 0.000 0.000
-0.001 6.154 0.000
-1.724 -0.146 7.731
Si Se
2 4
Direct
0.000 0.000 0.000
0.133 0.507 0.277
0.000 0.623 0.998
0.133 0.130 0.279
0.418 0.107 0.829
0.715 0.622 0.448
```

SG: P1, No. 1
Magnetization in μB/f.u.: 0.0
Uncorrected formation energy in eV/f.u.: -1.1